(1)
## Fe2W2Cl7 (PBE)

Data for a geometry-optimized Fe2W2Cl7 structure.

extended XYZ file:
```
22
Lattice="-3.318 -4.627 4.663 3.391 3.903 5.237 -8.095 5.682 10.157" Properties=species:S:1:pos:R:3 pbc="T T T"
Fe -3.485 0.344 10.801
Fe -5.914 5.243 16.018
Fe -2.107 -0.284 4.038
Fe -4.536 4.614 9.255
W -2.462 3.866 8.605
W 0.919 1.343 6.582
W -8.941 3.615 13.475
W -5.559 1.092 11.452
Cl -0.887 3.339 10.347
Cl 0.528 0.511 8.745
Cl -3.164 1.495 8.780
Cl -5.330 -3.192 7.203
Cl -8.169 2.067 15.149
Cl -4.987 1.485 13.697
Cl -6.822 4.832 13.892
Cl -1.200 0.127 6.165
Cl -3.034 3.473 6.359
Cl 0.148 2.891 4.908
Cl -2.692 8.150 12.854
Cl -4.858 3.463 11.277
Cl -8.550 4.447 11.312
Cl -7.134 1.619 9.709
```

Output
**Electronic total energy**: -5.43 eV per atom
**Raw formation energy**: -0.3618 eV/atom
**Magnetic moment**: 5.03 μB per formula unit

=====

(2)
## FeWCl2 (PBE)

Data for a geometry-optimized FeWCl2 structure.

extended XYZ file:
```
4
Lattice="4.169 0.000 0.000 0.000 2.875 -0.036 0.000 -1.218 5.517" Properties=species:S:1:pos:R:3 pbc="T T T"
Fe 2.085 0.414 1.370
W 2.085 1.242 4.111
Cl 0.000 2.547 -0.027
Cl 0.000 1.156 2.732
```

Output
**Electronic total energy**: -5.68 eV per atom
**Raw formation energy**: 0.5986 eV/atom
**Offset from the most stable computed form**: 0.735 eV per atom
**Magnetic moment**: 3.45 μB per formula unit

=====

(3)
## FeW2Cl (PBE)

Data for a geometry-optimized FeW2Cl structure.

extended XYZ file:
```
4
Lattice="-0.796 -0.683 2.690 1.760 -2.287 -0.060 5.060 3.830 2.470" Properties=species:S:1:pos:R:3 pbc="T T T"
Fe 4.277 1.387 3.168
W 4.984 3.772 2.433
W 2.607 1.973 1.272
Cl 1.747 -0.528 1.933
```

Output
**Electronic total energy**: -8.45 eV per atom
**Raw formation energy**: 0.6021 eV/atom
**Offset from the most stable computed form**: 0.194 eV per atom
**Magnetic moment**: 1.03 μB per formula unit

=====

(4)
## FeWCl2 (PBE)

Data for a geometry-optimized FeWCl2 structure.

extended XYZ file:
```
4
Lattice="-0.440 -2.739 -0.950 2.502 0.127 -1.524 4.206 -2.984 6.657" Properties=species:S:1:pos:R:3 pbc="T T T"
Fe 2.190 -1.554 3.467
W 4.055 -3.452 3.549
Cl 3.859 -2.739 6.109
Cl 2.472 -2.329 1.044
```

Output
**Electronic total energy**: -6.20 eV per atom
**Raw formation energy**: 0.0814 eV/atom
**Offset from the most stable computed form**: 0.218 eV per atom
**Magnetic moment**: 1.61 μB per formula unit

=====

(5)
## Fe2WCl (PBE)

Data for a geometry-optimized Fe2WCl structure.

extended XYZ file:
```
4
Lattice="-1.672 2.969 1.755 -2.630 2.630 -0.927 -5.164 -3.884 2.338" Properties=species:S:1:pos:R:3 pbc="T T T"
Fe -4.357 4.835 0.945
Fe -2.191 0.130 0.767
W -4.233 0.887 1.401
Cl -7.721 2.319 2.466
```

Output
**Electronic total energy**: -7.51 eV per atom
**Raw formation energy**: 0.4205 eV/atom
**Offset from the most stable computed form**: 0.102 eV per atom
**Magnetic moment**: 4.01 μB per formula unit

=====

(6)
## FeW2Cl (PBE)

Data for a geometry-optimized FeW2Cl structure.

extended XYZ file:
```
4
Lattice="8.649 -0.002 -0.001 8.160 2.865 -0.001 8.160 1.390 2.506" Properties=species:S:1:pos:R:3 pbc="T T T"
Fe 18.604 3.169 1.865
W 0.145 0.025 0.015
W 6.148 1.047 0.616
Cl 12.558 2.139 1.259
```

Output
**Electronic total energy**: -8.61 eV per atom
**Raw formation energy**: 0.4419 eV/atom
**Offset from the most stable computed form**: 0.034 eV per atom
**Magnetic moment**: 1.72 μB per formula unit

=====

(7)
## FeWCl2 (PBE)

Data for a geometry-optimized FeWCl2 structure.

extended XYZ file:
```
4
Lattice="-3.437 2.344 -1.906 -3.466 1.491 2.590 -0.465 4.473 0.845" Properties=species:S:1:pos:R:3 pbc="T T T"
Fe -3.684 4.154 0.764
W -5.526 6.231 1.146
Cl 0.000 0.000 0.000
Cl -1.842 2.077 0.382
```

Output
**Electronic total energy**: -5.19 eV per atom
**Raw formation energy**: 1.0906 eV/atom
**Offset from the most stable computed form**: 1.227 eV per atom
**Magnetic moment**: 0.02 μB per formula unit

=====

(8)
## FeWCl2 (PBE)

Data for a geometry-optimized FeWCl2 structure.

extended XYZ file:
```
4
Lattice="1.222 -3.046 8.425 -0.256 -5.373 7.267 2.706 -5.158 6.916" Properties=species:S:1:pos:R:3 pbc="T T T"
Fe 0.000 0.000 0.000
W 1.836 -6.789 11.304
Cl 3.312 -12.248 20.394
Cl 0.360 -1.330 2.214
```

Output
**Electronic total energy**: -5.77 eV per atom
**Raw formation energy**: 0.5086 eV/atom
**Offset from the most stable computed form**: 0.645 eV per atom
**Magnetic moment**: 3.10 μB per formula unit